# 1
Compound: SiPN2
Source: the Alexandria database
Functional: PBE
Structure: relaxed

**DFT total energy**: -6.5979 eV/atom

Geometry as POSCAR:
```
SiPN2
1.0
6.6574 0.0000 0.0000
0.0000 3.5441 0.0000
-1.6650 0.0000 4.0166
Si P N
2 2 4
Direct
0.0000 0.0000 0.0000 Si
0.5000 0.5000 0.0000 Si
0.2253 0.0000 0.6962 P
0.7253 0.5000 0.6962 P
0.1105 0.3098 0.3522 N
0.1105 0.6902 0.3522 N
0.6105 0.1902 0.3522 N
0.6105 0.8098 0.3522 N
```

# 2
Compound: SiPN
Source: the Alexandria database
Functional: PBE
Structure: relaxed

**DFT total energy**: -6.1688 eV/atom

Geometry as POSCAR:
```
SiPN
1.0
2.6586 0.0000 0.0000
0.0000 2.7643 0.0000
0.0000 0.0000 5.0295
Si P N
1 1 1
Direct
0.0000 0.0000 0.0000 Si
0.5000 0.5000 0.5093 P
0.0000 0.5000 0.2623 N
```

| no. | V (Å³/cell) | relative energy among the computed polymorphs (meV/atom) |
| --- | --- | --- |
| 1 | 95 | 569.2 |
| 2 | 37 | 746.5 |